# NdMg2CuSe4 PBE relaxed
data_NdMg2CuSe4
_chemical_formula_sum 'Nd2 Mg4 Cu2 Se8'
_symmetry_space_group_name_H-M 'P 1'
_symmetry_Int_Tables_number 1
_cell_length_a 6.8505
_cell_length_b 6.8505
_cell_length_c 13.5161
_cell_angle_alpha 90.00
_cell_angle_beta 90.00
_cell_angle_gamma 146.18
loop_
_symmetry_equiv_pos_as_xyz
'x,y,z'
loop_
_atom_site_label
_atom_site_type_symbol
_atom_site_fract_x
_atom_site_fract_y
_atom_site_fract_z
Nd1 Nd 0.1226 0.8774 0.7500
Nd2 Nd 0.8774 0.1226 0.2500
Mg1 Mg 0.3750 0.6250 0.5607
Mg2 Mg 0.3750 0.6250 0.9393
Mg3 Mg 0.6250 0.3750 0.0607
Mg4 Mg 0.6250 0.3750 0.4393
Cu1 Cu 0.1511 0.8489 0.2500
Cu2 Cu 0.8489 0.1511 0.7500
Se1 Se 0.0000 0.0000 0.0000
Se2 Se 0.0000 0.0000 0.5000
Se3 Se 0.2748 0.7252 0.1144
Se4 Se 0.2748 0.7252 0.3856
Se5 Se 0.4542 0.5458 0.7500
Se6 Se 0.5458 0.4542 0.2500
Se7 Se 0.7252 0.2748 0.6144
Se8 Se 0.7252 0.2748 0.8856
# M_tot = 0.0 μB per formula unit
# Volume = 353.1 Å³ per cell
# Energy relative to the elements, uncorrected = -1.20 eV per atom


# NdMgCuSe3 PBE relaxed
data_NdMgCuSe3
_chemical_formula_sum 'Nd2 Mg2 Cu2 Se6'
_symmetry_space_group_name_H-M 'P 1'
_symmetry_Int_Tables_number 1
_cell_length_a 8.0137
_cell_length_b 3.9696
_cell_length_c 8.7741
_cell_angle_alpha 90.00
_cell_angle_beta 102.53
_cell_angle_gamma 90.00
loop_
_symmetry_equiv_pos_as_xyz
'x,y,z'
loop_
_atom_site_label
_atom_site_type_symbol
_atom_site_fract_x
_atom_site_fract_y
_atom_site_fract_z
Nd1 Nd 0.1844 0.2500 0.2461
Nd2 Nd 0.8156 0.7500 0.7539
Mg1 Mg 0.3393 0.7500 0.8440
Mg2 Mg 0.6607 0.2500 0.1560
Cu1 Cu 0.0751 0.2500 0.5790
Cu2 Cu 0.9249 0.7500 0.4210
Se1 Se 0.0985 0.2500 0.8649
Se2 Se 0.2451 0.7500 0.5186
Se3 Se 0.4244 0.7500 0.1564
Se4 Se 0.5756 0.2500 0.8436
Se5 Se 0.7549 0.2500 0.4814
Se6 Se 0.9015 0.7500 0.1351
# M_tot = 0.0 μB per formula unit
# Volume = 272.5 Å³ per cell
# Energy relative to the elements, uncorrected = -1.24 eV per atom


# NdMg2Cu2Si PBE relaxed
data_NdMg2Cu2Si
_chemical_formula_sum 'Nd1 Mg2 Cu2 Si1'
_symmetry_space_group_name_H-M 'P 1'
_symmetry_Int_Tables_number 1
_cell_length_a 6.5143
_cell_length_b 6.5143
_cell_length_c 6.5143
_cell_angle_alpha 137.00
_cell_angle_beta 137.00
_cell_angle_gamma 62.44
loop_
_symmetry_equiv_pos_as_xyz
'x,y,z'
loop_
_atom_site_label
_atom_site_type_symbol
_atom_site_fract_x
_atom_site_fract_y
_atom_site_fract_z
Nd1 Nd 0.0000 0.0000 0.0000
Mg1 Mg 0.2500 0.7500 0.5000
Mg2 Mg 0.7500 0.2500 0.5000
Cu1 Cu 0.3034 0.3034 0.0000
Cu2 Cu 0.6966 0.6966 0.0000
Si1 Si 0.5000 0.5000 0.0000
# DOS(E_F) = 2.398 states/eV/cell
# M_tot = 0.0 μB per formula unit
# Volume = 127.0 Å³ per cell
# Energy relative to the elements, uncorrected = -0.03 eV per atom


# NdMgCuSi2 PBE relaxed
data_NdMgCuSi2
_chemical_formula_sum 'Nd1 Mg1 Cu1 Si2'
_symmetry_space_group_name_H-M 'P 1'
_symmetry_Int_Tables_number 1
_cell_length_a 6.1573
_cell_length_b 6.1573
_cell_length_c 6.1573
_cell_angle_alpha 140.65
_cell_angle_beta 140.65
_cell_angle_gamma 56.87
loop_
_symmetry_equiv_pos_as_xyz
'x,y,z'
loop_
_atom_site_label
_atom_site_type_symbol
_atom_site_fract_x
_atom_site_fract_y
_atom_site_fract_z
Nd1 Nd 0.0000 0.0000 0.0000
Mg1 Mg 0.7500 0.2500 0.5000
Cu1 Cu 0.2500 0.7500 0.5000
Si1 Si 0.3906 0.3906 0.0000
Si2 Si 0.6094 0.6094 0.0000
# DOS(E_F) = 2.822 states/eV/cell
# M_tot = 0.0 μB per formula unit
# Volume = 93.1 Å³ per cell
# Energy relative to the elements, uncorrected = -0.45 eV per atom


# NdMg2Cu2Si2 PBE relaxed
data_NdMg2Cu2Si2
_chemical_formula_sum 'Nd1 Mg2 Cu2 Si2'
_symmetry_space_group_name_H-M 'P 1'
_symmetry_Int_Tables_number 1
_cell_length_a 8.5949
_cell_length_b 8.5949
_cell_length_c 8.5949
_cell_angle_alpha 28.39
_cell_angle_beta 28.39
_cell_angle_gamma 28.39
loop_
_symmetry_equiv_pos_as_xyz
'x,y,z'
loop_
_atom_site_label
_atom_site_type_symbol
_atom_site_fract_x
_atom_site_fract_y
_atom_site_fract_z
Nd1 Nd 0.0000 0.0000 0.0000
Mg1 Mg 0.1346 0.1346 0.1346
Mg2 Mg 0.8654 0.8654 0.8654
Cu1 Cu 0.4179 0.4179 0.4179
Cu2 Cu 0.5821 0.5821 0.5821
Si1 Si 0.2531 0.2531 0.2531
Si2 Si 0.7469 0.7469 0.7469
# DOS(E_F) = 1.607 states/eV/cell
# M_tot = 0.0 μB per formula unit
# Volume = 126.8 Å³ per cell
# Energy relative to the elements, uncorrected = -0.40 eV per atom


# Nd2MgCu4Si3 PBE relaxed
data_Nd2MgCu4Si3
_chemical_formula_sum 'Nd2 Mg1 Cu4 Si3'
_symmetry_space_group_name_H-M 'P 1'
_symmetry_Int_Tables_number 1
_cell_length_a 4.1271
_cell_length_b 4.1271
_cell_length_c 10.2203
_cell_angle_alpha 90.00
_cell_angle_beta 90.00
_cell_angle_gamma 90.00
loop_
_symmetry_equiv_pos_as_xyz
'x,y,z'
loop_
_atom_site_label
_atom_site_type_symbol
_atom_site_fract_x
_atom_site_fract_y
_atom_site_fract_z
Nd1 Nd 0.0000 0.5000 0.2339
Nd2 Nd 0.5000 0.0000 0.7661
Mg1 Mg 0.0000 0.0000 0.5000
Cu1 Cu 0.0000 0.0000 0.0000
Cu2 Cu 0.0000 0.5000 0.6425
Cu3 Cu 0.5000 0.0000 0.3575
Cu4 Cu 0.5000 0.5000 0.0000
Si1 Si 0.0000 0.5000 0.8725
Si2 Si 0.5000 0.0000 0.1275
Si3 Si 0.5000 0.5000 0.5000
# DOS(E_F) = 4.494 states/eV/cell
# M_tot = 0.0 μB per formula unit
# Volume = 174.1 Å³ per cell
# Energy relative to the elements, uncorrected = -0.48 eV per atom


# NdMgCuSn PBE relaxed
data_NdMgCuSn
_chemical_formula_sum 'Nd1 Mg1 Cu1 Sn1'
_symmetry_space_group_name_H-M 'P 1'
_symmetry_Int_Tables_number 1
_cell_length_a 5.0748
_cell_length_b 5.0748
_cell_length_c 5.0748
_cell_angle_alpha 60.00
_cell_angle_beta 60.00
_cell_angle_gamma 60.00
loop_
_symmetry_equiv_pos_as_xyz
'x,y,z'
loop_
_atom_site_label
_atom_site_type_symbol
_atom_site_fract_x
_atom_site_fract_y
_atom_site_fract_z
Nd1 Nd 0.0000 0.0000 0.0000
Mg1 Mg 0.5000 0.5000 0.5000
Cu1 Cu 0.2500 0.2500 0.2500
Sn1 Sn 0.7500 0.7500 0.7500
# DOS(E_F) = 2.049 states/eV/cell
# Calculated formation energy = -1.21 eV/f.u.
# M_tot = 0.0 μB per formula unit
# Volume = 92.4 Å³ per cell


# Nd2MgCu3Sn4 PBE relaxed
data_Nd2MgCu3Sn4
_chemical_formula_sum 'Nd2 Mg1 Cu3 Sn4'
_symmetry_space_group_name_H-M 'P 1'
_symmetry_Int_Tables_number 1
_cell_length_a 4.4179
_cell_length_b 4.4179
_cell_length_c 11.4721
_cell_angle_alpha 90.00
_cell_angle_beta 90.00
_cell_angle_gamma 90.00
loop_
_symmetry_equiv_pos_as_xyz
'x,y,z'
loop_
_atom_site_label
_atom_site_type_symbol
_atom_site_fract_x
_atom_site_fract_y
_atom_site_fract_z
Nd1 Nd 0.0000 0.5000 0.2422
Nd2 Nd 0.5000 0.0000 0.7578
Mg1 Mg 0.0000 0.0000 0.5000
Cu1 Cu 0.0000 0.5000 0.8663
Cu2 Cu 0.5000 0.0000 0.1337
Cu3 Cu 0.5000 0.5000 0.5000
Sn1 Sn 0.0000 0.0000 0.0000
Sn2 Sn 0.0000 0.5000 0.6461
Sn3 Sn 0.5000 0.0000 0.3539
Sn4 Sn 0.5000 0.5000 0.0000
# DOS(E_F) = 2.581 states/eV/cell
# Calculated formation energy = -4.19 eV/f.u.
# M_tot = 0.0 μB per formula unit
# Volume = 223.9 Å³ per cell


# NdThMgCu PBE relaxed
data_NdThMgCu
_chemical_formula_sum 'Nd1 Th1 Mg1 Cu1'
_symmetry_space_group_name_H-M 'P 1'
_symmetry_Int_Tables_number 1
_cell_length_a 5.2616
_cell_length_b 5.2616
_cell_length_c 5.2616
_cell_angle_alpha 60.00
_cell_angle_beta 60.00
_cell_angle_gamma 60.00
loop_
_symmetry_equiv_pos_as_xyz
'x,y,z'
loop_
_atom_site_label
_atom_site_type_symbol
_atom_site_fract_x
_atom_site_fract_y
_atom_site_fract_z
Nd1 Nd 0.0000 0.0000 0.0000
Th1 Th 0.5000 0.5000 0.5000
Mg1 Mg 0.2500 0.2500 0.2500
Cu1 Cu 0.7500 0.7500 0.7500
# DOS(E_F) = 4.145 states/eV/cell
# Calculated formation energy = 0.23 eV/f.u.
# M_tot = 0.0 μB per formula unit
# Volume = 103.0 Å³ per cell


# NdTmMgCu PBE relaxed
data_NdTmMgCu
_chemical_formula_sum 'Nd1 Tm1 Mg1 Cu1'
_symmetry_space_group_name_H-M 'P 1'
_symmetry_Int_Tables_number 1
_cell_length_a 5.1808
_cell_length_b 5.1808
_cell_length_c 5.1808
_cell_angle_alpha 60.00
_cell_angle_beta 60.00
_cell_angle_gamma 60.00
loop_
_symmetry_equiv_pos_as_xyz
'x,y,z'
loop_
_atom_site_label
_atom_site_type_symbol
_atom_site_fract_x
_atom_site_fract_y
_atom_site_fract_z
Nd1 Nd 0.0000 0.0000 0.0000
Tm1 Tm 0.5000 0.5000 0.5000
Mg1 Mg 0.2500 0.2500 0.2500
Cu1 Cu 0.7500 0.7500 0.7500
# DOS(E_F) = 4.165 states/eV/cell
# Calculated formation energy = -0.19 eV/f.u.
# M_tot = 0.0 μB per formula unit
# Volume = 98.3 Å³ per cell


# Nd2MgZn2Cu5 PBE relaxed
data_Nd2MgZn2Cu5
_chemical_formula_sum 'Nd4 Mg2 Zn4 Cu10'
_symmetry_space_group_name_H-M 'P 1'
_symmetry_Int_Tables_number 1
_cell_length_a 9.9241
_cell_length_b 9.9241
_cell_length_c 3.6635
_cell_angle_alpha 90.00
_cell_angle_beta 90.00
_cell_angle_gamma 90.00
loop_
_symmetry_equiv_pos_as_xyz
'x,y,z'
loop_
_atom_site_label
_atom_site_type_symbol
_atom_site_fract_x
_atom_site_fract_y
_atom_site_fract_z
Nd1 Nd 0.1807 0.3193 0.0000
Nd2 Nd 0.3193 0.8193 0.0000
Nd3 Nd 0.6807 0.1807 0.0000
Nd4 Nd 0.8193 0.6807 0.0000
Mg1 Mg 0.0000 0.0000 0.0000
Mg2 Mg 0.5000 0.5000 0.0000
Zn1 Zn 0.1168 0.6168 0.0000
Zn2 Zn 0.3832 0.1168 0.0000
Zn3 Zn 0.6168 0.8832 0.0000
Zn4 Zn 0.8832 0.3832 0.0000
Cu1 Cu 0.0000 0.5000 0.5000
Cu2 Cu 0.0515 0.7923 0.5000
Cu3 Cu 0.2077 0.0515 0.5000
Cu4 Cu 0.2923 0.5515 0.5000
Cu5 Cu 0.4485 0.2923 0.5000
Cu6 Cu 0.5000 0.0000 0.5000
Cu7 Cu 0.5515 0.7077 0.5000
Cu8 Cu 0.7077 0.4485 0.5000
Cu9 Cu 0.7923 0.9485 0.5000
Cu10 Cu 0.9485 0.2077 0.5000
# DOS(E_F) = 11.673 states/eV/cell
# Calculated formation energy = -0.93 eV/f.u.
# M_tot = 0.0 μB per formula unit
# Volume = 360.8 Å³ per cell


# Nd2MgZn12Cu3 PBE relaxed
data_Nd2MgZn12Cu3
_chemical_formula_sum 'Nd2 Mg1 Zn12 Cu3'
_symmetry_space_group_name_H-M 'P 1'
_symmetry_Int_Tables_number 1
_cell_length_a 8.5527
_cell_length_b 8.5527
_cell_length_c 8.5527
_cell_angle_alpha 56.11
_cell_angle_beta 56.11
_cell_angle_gamma 56.11
loop_
_symmetry_equiv_pos_as_xyz
'x,y,z'
loop_
_atom_site_label
_atom_site_type_symbol
_atom_site_fract_x
_atom_site_fract_y
_atom_site_fract_z
Nd1 Nd 0.1031 0.1031 0.1031
Nd2 Nd 0.8969 0.8969 0.8969
Mg1 Mg 0.5000 0.5000 0.5000
Zn1 Zn 0.0118 0.6596 0.6596
Zn2 Zn 0.1521 0.1521 0.6402
Zn3 Zn 0.1521 0.6402 0.1521
Zn4 Zn 0.3404 0.3404 0.9882
Zn5 Zn 0.3404 0.9882 0.3404
Zn6 Zn 0.3598 0.8479 0.8479
Zn7 Zn 0.6402 0.1521 0.1521
Zn8 Zn 0.6596 0.0118 0.6596
Zn9 Zn 0.6596 0.6595 0.0118
Zn10 Zn 0.8479 0.3598 0.8479
Zn11 Zn 0.8479 0.8479 0.3598
Zn12 Zn 0.9882 0.3404 0.3404
Cu1 Cu 0.0000 0.5000 0.5000
Cu2 Cu 0.5000 0.0000 0.5000
Cu3 Cu 0.5000 0.5000 0.0000
# DOS(E_F) = 9.703 states/eV/cell
# Calculated formation energy = 4.01 eV/f.u.
# M_tot = 0.0 μB per formula unit
# Volume = 402.6 Å³ per cell